(1)
Entry from Alexandria: a relaxed structure of Ca3Sb5Se12 (PBE).

Unit cell a=14.7035 b=14.7035 c=14.7035 alpha=109.47 beta=109.47 gamma=109.47
Last column: nearest neighbours and their distance in Å.
Fractional positions:
1 Ca 0.1250 0.2500 0.3750  8 Se 3.14-3.21
2 Ca 0.1250 0.3750 0.7500  8 Se 3.14-3.21
3 Ca 0.2500 0.3750 0.1250  8 Se 3.14-3.21
4 Ca 0.2500 0.8750 0.6250  8 Se 3.14-3.21
5 Ca 0.3750 0.1250 0.2500  8 Se 3.14-3.21
6 Ca 0.3750 0.7500 0.1250  8 Se 3.14-3.21
7 Ca 0.6250 0.2500 0.8750  8 Se 3.14-3.21
8 Ca 0.6250 0.8750 0.7500  8 Se 3.14-3.21
9 Ca 0.7500 0.1250 0.3750  8 Se 3.14-3.21
10 Ca 0.7500 0.6250 0.8750  8 Se 3.14-3.21
11 Ca 0.8750 0.6250 0.2500  8 Se 3.14-3.21
12 Ca 0.8750 0.7500 0.6250  8 Se 3.14-3.21
13 Sb 0.0000 0.0000 0.0000  6 Se 2.83
14 Sb 0.0000 0.0000 0.5000  6 Se 2.83
15 Sb 0.0000 0.5000 0.0000  6 Se 2.83
16 Sb 0.0000 0.5000 0.5000  6 Se 2.83
17 Sb 0.1250 0.7500 0.8750  4 Se 2.68
18 Sb 0.1250 0.8750 0.2500  4 Se 2.68
19 Sb 0.2500 0.1250 0.8750  4 Se 2.68
20 Sb 0.2500 0.6250 0.3750  4 Se 2.68
21 Sb 0.3750 0.2500 0.6250  4 Se 2.68
22 Sb 0.3750 0.6250 0.7500  4 Se 2.68
23 Sb 0.5000 0.0000 0.0000  6 Se 2.83
24 Sb 0.5000 0.0000 0.5000  6 Se 2.83
25 Sb 0.5000 0.5000 0.0000  6 Se 2.83
26 Sb 0.5000 0.5000 0.5000  6 Se 2.83
27 Sb 0.6250 0.3750 0.2500  4 Se 2.68
28 Sb 0.6250 0.7500 0.3750  4 Se 2.68
29 Sb 0.7500 0.3750 0.6250  4 Se 2.68
30 Sb 0.7500 0.8750 0.1250  4 Se 2.68
31 Sb 0.8750 0.1250 0.7500  4 Se 2.68
32 Sb 0.8750 0.2500 0.1250  4 Se 2.68
33 Se 0.0454 0.2166 0.1339  2 Sb 2.68-2.83
34 Se 0.0454 0.3288 0.9114  2 Sb 2.68-2.83
35 Se 0.0827 0.7166 0.6712  2 Sb 2.68-2.83
36 Se 0.0827 0.8661 0.4114  2 Sb 2.68-2.83
37 Se 0.0886 0.6339 0.4173  2 Sb 2.68-2.83
38 Se 0.0886 0.9546 0.6712  2 Sb 2.68-2.83
39 Se 0.1339 0.0454 0.2166  2 Sb 2.68-2.83
40 Se 0.1339 0.5886 0.9173  2 Sb 2.68-2.83
41 Se 0.1712 0.2166 0.5827  2 Sb 2.68-2.83
42 Se 0.1712 0.4546 0.5886  2 Sb 2.68-2.83
43 Se 0.2166 0.1339 0.0454  2 Sb 2.68-2.83
44 Se 0.2166 0.5827 0.1712  2 Sb 2.68-2.83
45 Se 0.2834 0.3288 0.9173  2 Sb 2.68-2.83
46 Se 0.2834 0.4546 0.3661  2 Sb 2.68-2.83
47 Se 0.3288 0.9114 0.0454  2 Sb 2.68-2.83
48 Se 0.3288 0.9173 0.2834  2 Sb 2.68-2.83
49 Se 0.3661 0.2834 0.4546  2 Sb 2.68-2.83
50 Se 0.3661 0.5827 0.9114  2 Sb 2.68-2.83
51 Se 0.4114 0.0827 0.8661  2 Sb 2.68-2.83
52 Se 0.4114 0.8288 0.5454  2 Sb 2.68-2.83
53 Se 0.4173 0.0886 0.6339  2 Sb 2.68-2.83
54 Se 0.4173 0.8288 0.7834  2 Sb 2.68-2.83
55 Se 0.4546 0.3661 0.2834  2 Sb 2.68-2.83
56 Se 0.4546 0.5886 0.1712  2 Sb 2.68-2.83
57 Se 0.5454 0.4114 0.8288  2 Sb 2.68-2.83
58 Se 0.5454 0.6339 0.7166  2 Sb 2.68-2.83
59 Se 0.5827 0.1712 0.2166  2 Sb 2.68-2.83
60 Se 0.5827 0.9114 0.3661  2 Sb 2.68-2.83
61 Se 0.5886 0.1712 0.4546  2 Sb 2.68-2.83
62 Se 0.5886 0.9173 0.1339  2 Sb 2.68-2.83
63 Se 0.6339 0.4173 0.0886  2 Sb 2.68-2.83
64 Se 0.6339 0.7166 0.5454  2 Sb 2.68-2.83
65 Se 0.6712 0.0827 0.7166  2 Sb 2.68-2.83
66 Se 0.6712 0.0886 0.9546  2 Sb 2.68-2.83
67 Se 0.7166 0.5454 0.6339  2 Sb 2.68-2.83
68 Se 0.7166 0.6712 0.0827  2 Sb 2.68-2.83
69 Se 0.7834 0.4173 0.8288  2 Sb 2.68-2.83
70 Se 0.7834 0.8661 0.9546  2 Sb 2.68-2.83
71 Se 0.8288 0.5454 0.4114  2 Sb 2.68-2.83
72 Se 0.8288 0.7834 0.4173  2 Sb 2.68-2.83
73 Se 0.8661 0.4114 0.0827  2 Sb 2.68-2.83
74 Se 0.8661 0.9546 0.7834  2 Sb 2.68-2.83
75 Se 0.9114 0.0454 0.3288  2 Sb 2.68-2.83
76 Se 0.9114 0.3661 0.5827  2 Sb 2.68-2.83
77 Se 0.9173 0.1339 0.5886  2 Sb 2.68-2.83
78 Se 0.9173 0.2834 0.3288  2 Sb 2.68-2.83
79 Se 0.9546 0.6712 0.0886  2 Sb 2.68-2.83
80 Se 0.9546 0.7834 0.8661  2 Sb 2.68-2.83

Properties
Crystal system: cubic
Formation energy without anion corrections (meV per atom): -637
SG: Ia-3d, No. 230
Magnetic moment (μB/atom): 0.000
Uncorrected energy (eV per formula unit): -81.169

(2)
Entry from Alexandria: a relaxed structure of NdErCd (PBE).

Unit cell a=7.0505 b=7.0505 c=7.0505 alpha=149.97 beta=149.97 gamma=42.98
Last column: nearest neighbours and their distance in Å.
Fractional positions:
1 Nd 0.0000 0.0000 0.0000  4 Cd 3.39, 4 Er 3.57, 4 Nd 3.65
2 Er 0.3124 0.3124 0.0000  4 Cd 3.21, 4 Nd 3.57
3 Cd 0.6669 0.6669 0.0000  4 Er 3.21, 4 Nd 3.39

Properties
Crystal system: tetragonal
Offset from the most stable computed form (meV/atom): 0
Formation enthalpy at 0 K (meV per atom): -192.7
SG: I4mm, No. 107
Magnetic moment (μB/atom): 0.196
Uncorrected energy (eV per formula unit): -10.824

(3)
Entry from Alexandria: a relaxed structure of BaAl2TcSn (PBE).

Unit cell a=4.9338 b=4.9338 c=5.1600 alpha=90.00 beta=90.00 gamma=90.00
Last column: nearest neighbours and their distance in Å.
Fractional positions:
1 Ba 0.0000 0.0000 0.0000  4 Sn 3.49, 8 Al 3.57
2 Al 0.0000 0.5000 0.5000  2 Tc 2.47
3 Al 0.5000 0.0000 0.5000  2 Tc 2.47
4 Tc 0.5000 0.5000 0.5000  4 Al 2.47, 2 Sn 2.58
5 Sn 0.5000 0.5000 0.0000  2 Tc 2.58

Properties
Crystal system: tetragonal
Formation enthalpy at 0 K (meV per atom): -290.1
SG: P4/mmm, No. 123
Magnetic moment (μB/atom): 0.000
Uncorrected energy (eV per formula unit): -25.227

(4)
Entry from Alexandria: a relaxed structure of AcTb2Nd4Dy (PBE).

Unit cell a=5.1752 b=5.2094 c=10.3899 alpha=90.00 beta=90.00 gamma=90.00
Last column: nearest neighbours and their distance in Å.
Fractional positions:
1 Ac 0.0000 0.0000 0.0000  4 Tb 3.67, 8 Nd 3.73
2 Tb 0.0000 0.0000 0.5000  8 Nd 3.61-3.63, 4 Dy 3.67
3 Tb 0.5000 0.5000 0.0000  4 Ac 3.67, 8 Nd 3.72-3.74
4 Nd 0.0000 0.5000 0.2572  2 Dy 3.61, 4 Tb 3.63-3.72, 4 Nd 3.67, 2 Ac 3.73
5 Nd 0.0000 0.5000 0.7428  2 Dy 3.61, 4 Tb 3.63-3.72, 4 Nd 3.67, 2 Ac 3.73
6 Nd 0.5000 0.0000 0.2580  4 Tb 3.61-3.74, 2 Dy 3.62, 4 Nd 3.67, 2 Ac 3.73
7 Nd 0.5000 0.0000 0.7420  4 Tb 3.61-3.74, 2 Dy 3.62, 4 Nd 3.67, 2 Ac 3.73
8 Dy 0.5000 0.5000 0.5000  8 Nd 3.61-3.62, 4 Tb 3.67

Properties
Crystal system: orthorhombic
Formation enthalpy at 0 K (meV per atom): 26.6
SG: Pmmm, No. 47
Magnetic moment (μB/atom): 0.000
Uncorrected energy (eV per formula unit): -36.830